# 1
VASP calculation (PBE) on a relaxed structure of Ti5Nb2Mo5. Values from VASP.

Cell and atoms, written as Quantum ESPRESSO input:
```
&SYSTEM
  ibrav = 0, nat = 12, ntyp = 3
/
ATOMIC_SPECIES
Ti 47.87 Ti.upf
Nb 92.91 Nb.upf
Mo 95.94 Mo.upf
ATOMIC_POSITIONS angstrom
Ti 0.000 0.000 0.000
Ti -0.845 0.000 2.747
Ti -1.495 0.000 5.534
Ti 10.638 0.000 0.948
Ti 9.988 0.000 3.735
Nb 1.509 0.000 4.397
Nb 7.635 0.000 2.085
Mo 2.291 0.000 1.705
Mo 5.337 0.000 0.614
Mo 4.572 0.000 3.241
Mo 3.806 0.000 5.868
Mo 6.853 0.000 4.777
CELL_PARAMETERS angstrom
6.846 -2.221 0.000
6.846 2.221 0.000
-4.548 0.000 6.482
```

Output
- Calculated total energy: -9.60 eV/atom
- Space-group type: No. 12
- N(E_F): 14.76 states/eV/cell

=====

# 2
VASP calculation (PBE) on a relaxed structure of Ti2Nb8Mo. Values from VASP.

Cell and atoms, written as Quantum ESPRESSO input:
```
&SYSTEM
  ibrav = 0, nat = 11, ntyp = 3
/
ATOMIC_SPECIES
Ti 47.87 Ti.upf
Nb 92.91 Nb.upf
Mo 95.94 Mo.upf
ATOMIC_POSITIONS angstrom
Ti 3.500 0.000 0.740
Ti 11.947 0.000 4.694
Nb 0.662 0.000 1.257
Nb 2.155 0.000 3.665
Nb 4.940 0.000 3.253
Nb 6.332 0.000 0.306
Nb 9.114 0.000 5.127
Nb 10.507 0.000 2.180
Nb 13.292 0.000 1.768
Nb 14.785 0.000 4.176
Mo 7.723 0.000 2.717
CELL_PARAMETERS angstrom
7.742 -2.321 0.000
7.742 2.321 0.000
-0.038 0.000 5.433
```

Output
- Calculated total energy: -9.77 eV/atom
- Space-group type: No. 12
- N(E_F): 15.78 states/eV/cell

=====

# 3
VASP calculation (PBE) on a relaxed structure of Ti5Nb5Mo2. Values from VASP.

Cell and atoms, written as Quantum ESPRESSO input:
```
&SYSTEM
  ibrav = 0, nat = 12, ntyp = 3
/
ATOMIC_SPECIES
Ti 47.87 Ti.upf
Nb 92.91 Nb.upf
Mo 95.94 Mo.upf
ATOMIC_POSITIONS angstrom
Ti 0.000 0.000 0.000
Ti -1.746 0.000 6.992
Ti -0.191 0.000 4.623
Ti 6.438 0.000 4.571
Ti 7.993 0.000 2.202
Nb 1.535 0.000 2.314
Nb 1.404 0.000 7.017
Nb 3.123 0.000 4.597
Nb 4.843 0.000 2.177
Nb 4.712 0.000 6.880
Mo 3.190 0.000 0.040
Mo 3.057 0.000 9.154
CELL_PARAMETERS angstrom
4.877 -2.310 0.000
4.877 2.310 0.000
-3.507 0.000 9.194
```

Output
- Calculated total energy: -9.32 eV/atom
- Space-group type: No. 12
- N(E_F): 18.24 states/eV/cell

=====

# 4
VASP calculation (PBE) on a relaxed structure of TiNbMo3. Values from VASP.

Cell and atoms, written as Quantum ESPRESSO input:
```
&SYSTEM
  ibrav = 0, nat = 20, ntyp = 3
/
ATOMIC_SPECIES
Ti 47.87 Ti.upf
Nb 92.91 Nb.upf
Mo 95.94 Mo.upf
ATOMIC_POSITIONS angstrom
Ti 3.387 0.000 0.678
Ti 3.387 2.602 1.715
Ti 10.161 0.000 4.108
Ti 10.161 2.602 3.071
Nb 0.686 1.301 1.197
Nb 6.088 3.903 1.197
Nb 7.460 1.301 3.590
Nb 12.862 3.903 3.590
Mo 0.811 3.903 1.197
Mo 2.009 5.202 3.313
Mo 2.009 2.604 3.866
Mo 4.765 0.002 3.313
Mo 4.765 2.600 3.866
Mo 5.963 1.301 1.197
Mo 7.585 3.903 3.590
Mo 8.783 5.202 1.473
Mo 8.783 2.604 0.920
Mo 11.539 0.002 1.473
Mo 11.539 2.600 0.920
Mo 12.738 1.301 3.590
CELL_PARAMETERS angstrom
13.549 0.000 0.000
0.000 5.204 0.000
0.000 0.000 4.786
```

Output
- Space-group type: No. 52
- N(E_F): 23.35 states/eV/cell
- Relative energy among the computed polymorphs: 0.000 eV per atom

=====

# 5
VASP calculation (PBE) on a relaxed structure of Ti3NbMo. Values from VASP.

Cell and atoms, written as Quantum ESPRESSO input:
```
&SYSTEM
  ibrav = 0, nat = 10, ntyp = 3
/
ATOMIC_SPECIES
Ti 47.87 Ti.upf
Nb 92.91 Nb.upf
Mo 95.94 Mo.upf
ATOMIC_POSITIONS angstrom
Ti 2.453 1.231 -2.232
Ti 0.000 0.000 3.617
Ti 0.000 1.222 6.657
Ti 1.231 2.453 2.232
Ti 1.222 0.000 11.120
Ti 0.000 0.000 14.160
Nb 2.453 0.000 1.202
Nb 2.453 0.000 7.686
Mo 0.000 0.000 8.888
Mo 0.000 2.453 4.444
CELL_PARAMETERS angstrom
-2.453 2.453 8.888
2.453 -2.453 8.888
2.453 2.453 -8.888
```

Output
- Space-group type: No. 119
- N(E_F): 15.25 states/eV/cell
- Relative energy among the computed polymorphs: 1.002 eV per atom

=====

# 6
VASP calculation (PBE) on a relaxed structure of Ti4NbMo. Values from VASP.

Cell and atoms, written as Quantum ESPRESSO input:
```
&SYSTEM
  ibrav = 0, nat = 6, ntyp = 3
/
ATOMIC_SPECIES
Ti 47.87 Ti.upf
Nb 92.91 Nb.upf
Mo 95.94 Mo.upf
ATOMIC_POSITIONS angstrom
Ti 0.000 2.171 1.508
Ti 0.000 2.171 4.686
Ti 2.171 0.000 1.508
Ti 2.171 0.000 4.686
Nb 0.000 0.000 3.097
Mo 2.171 2.171 0.000
CELL_PARAMETERS angstrom
4.342 0.000 0.000
0.000 4.342 0.000
0.000 0.000 6.193
```

Output
- Space-group type: No. 123
- N(E_F): 6.39 states/eV/cell
- Relative energy among the computed polymorphs: 0.549 eV per atom

=====

# 7
VASP calculation (PBE) on a relaxed structure of Ti3Nb2Mo2. Values from VASP.

Cell and atoms, written as Quantum ESPRESSO input:
```
&SYSTEM
  ibrav = 0, nat = 7, ntyp = 3
/
ATOMIC_SPECIES
Ti 47.87 Ti.upf
Nb 92.91 Nb.upf
Mo 95.94 Mo.upf
ATOMIC_POSITIONS angstrom
Ti 0.000 0.000 0.000
Ti 0.001 0.000 5.440
Ti 2.397 0.000 3.963
Nb 0.005 0.000 2.603
Nb 2.392 0.000 6.799
Mo 0.000 1.343 8.102
Mo 2.397 1.343 1.301
CELL_PARAMETERS angstrom
4.787 0.000 0.000
0.000 2.686 0.000
-2.390 0.000 9.402
```

Output
- Space-group type: No. 10
- N(E_F): 10.35 states/eV/cell
- Relative energy among the computed polymorphs: 0.311 eV per atom

=====

# 8
VASP calculation (PBE) on a relaxed structure of Ti2NbMo. Values from VASP.

Cell and atoms, written as Quantum ESPRESSO input:
```
&SYSTEM
  ibrav = 0, nat = 8, ntyp = 3
/
ATOMIC_SPECIES
Ti 47.87 Ti.upf
Nb 92.91 Nb.upf
Mo 95.94 Mo.upf
ATOMIC_POSITIONS angstrom
Ti 1.605 1.607 0.000
Ti 0.004 0.000 1.749
Ti 1.605 -1.607 0.000
Ti 3.440 0.000 4.836
Nb 0.219 0.000 4.831
Nb 3.225 0.000 1.755
Mo 1.722 1.609 3.293
Mo 1.722 -1.609 3.293
CELL_PARAMETERS angstrom
3.211 -3.214 0.000
3.211 3.214 0.000
-2.977 0.000 6.586
```

Output
- Space-group type: No. 12
- N(E_F): 13.34 states/eV/cell
- Relative energy among the computed polymorphs: 0.012 eV per atom